[1]
Here is a relaxed UPO crystal from Alexandria via LeMat-Bulk. Energies are from GGA-PBE.

Geometry as POSCAR:
```
UPO
1.0
-2.636 3.242 0.556
-2.932 0.856 -2.906
-4.070 -0.712 0.838
O P U
1 1 1
direct
0.500 0.500 0.500 O
0.000 0.000 0.000 P
0.250 0.250 0.250 U
```

- Polymorph energy (0 for the lowest one): 631 meV per atom
- Formation energy without anion corrections: -1.270 eV/atom
- Uncorrected energy: -8.49 eV/atom
- Total magnetic moment: 0.335 μB/atom
- Density: 8.93 g/cm3
- Crystal system: cubic

[2]
Here is a relaxed UPO5 crystal from Alexandria via LeMat-Bulk. Energies are from GGA-PBE.

Geometry as POSCAR:
```
UPO5
1.0
-2.065 -3.483 -1.080
5.913 -3.639 0.429
-1.294 -1.312 6.708
O P U
10 2 2
direct
0.708 0.000 0.184 O
0.708 0.316 0.500 O
0.708 0.000 0.816 O
0.292 0.816 0.000 O
0.708 0.684 0.500 O
0.292 0.184 0.000 O
0.774 0.500 0.000 O
0.292 0.500 0.684 O
0.292 0.500 0.316 O
0.226 0.000 0.500 O
0.500 0.000 0.000 P
0.500 0.500 0.500 P
0.719 0.000 0.500 U
0.281 0.500 0.000 U
```

- Polymorph energy (0 for the lowest one): 0 meV per atom
- Formation energy without anion corrections: -2.761 eV/atom
- Uncorrected energy: -8.69 eV/atom
- Total magnetic moment: 0.143 μB/atom
- Density: 5.72 g/cm3
- Crystal system: tetragonal

[3]
Here is a relaxed UPO6 crystal from Alexandria via LeMat-Bulk. Energies are from GGA-PBE.

Geometry as POSCAR:
```
UPO6
1.0
-3.254 3.113 -2.616
-1.052 -2.177 4.613
2.787 3.473 1.692
O U P
6 1 1
direct
0.426 0.169 0.286 O
0.169 0.426 0.286 O
0.730 0.730 0.280 O
0.831 0.574 0.714 O
0.270 0.270 0.720 O
0.574 0.831 0.714 O
0.000 0.000 0.000 U
0.500 0.500 0.500 P
```

- Formation energy without anion corrections: -2.048 eV/atom
- Uncorrected energy: -7.85 eV/atom
- Total magnetic moment: 0.098 μB/atom
- Density: 5.86 g/cm3
- Crystal system: monoclinic

[4]
Here is a relaxed UP2O6 crystal from Alexandria via LeMat-Bulk. Energies are from GGA-PBE.

Geometry as POSCAR:
```
UP2O6
1.0
-4.707 2.986 -1.136
-4.551 -2.597 -2.215
-5.175 -1.019 4.521
O P U
6 2 1
direct
0.592 0.592 0.766 O
0.050 0.592 0.766 O
0.436 0.436 0.235 O
0.436 0.894 0.235 O
0.894 0.436 0.235 O
0.592 0.050 0.766 O
0.608 0.608 0.175 P
0.725 0.725 0.826 P
0.333 0.333 0.001 U
```

- Formation energy without anion corrections: -2.329 eV/atom
- Uncorrected energy: -8.09 eV/atom
- Total magnetic moment: 0.222 μB/atom
- Density: 3.83 g/cm3
- Crystal system: trigonal

[5]
Here is a relaxed U3P2O crystal from Alexandria via LeMat-Bulk. Energies are from GGA-PBE.

Geometry as POSCAR:
```
U3P2O
1.0
-3.684 1.020 -3.998
4.301 -1.549 -4.358
-2.780 -5.554 1.145
P U O
4 6 2
direct
0.761 0.433 0.179 P
0.261 0.821 0.567 P
0.761 0.179 0.433 P
0.261 0.567 0.821 P
0.011 0.186 0.814 U
0.011 0.814 0.186 U
0.511 0.186 0.814 U
0.261 0.366 0.366 U
0.761 0.634 0.634 U
0.511 0.814 0.186 U
0.261 0.077 0.077 O
0.761 0.923 0.923 O
```

- Formation energy without anion corrections: -1.131 eV/atom
- Uncorrected energy: -9.40 eV/atom
- Total magnetic moment: 0.454 μB/atom
- Density: 12.19 g/cm3
- Crystal system: orthorhombic

[6]
Here is a relaxed UPO5 crystal from Alexandria via LeMat-Bulk. Energies are from GGA-PBE.

Geometry as POSCAR:
```
UPO5
1.0
5.530 -0.006 0.021
-1.229 8.837 -0.019
-2.089 -2.253 8.798
O U P
20 4 4
direct
0.572 0.181 0.910 O
0.005 0.144 0.894 O
0.643 0.069 0.651 O
0.279 0.471 0.896 O
0.116 0.911 0.619 O
0.995 0.856 0.106 O
0.977 0.375 0.630 O
0.721 0.529 0.104 O
0.884 0.089 0.381 O
0.357 0.931 0.349 O
0.887 0.588 0.825 O
0.354 0.095 0.171 O
0.023 0.625 0.370 O
0.280 0.643 0.729 O
0.113 0.412 0.175 O
0.568 0.695 0.499 O
0.646 0.905 0.829 O
0.720 0.357 0.271 O
0.432 0.305 0.501 O
0.428 0.819 0.090 O
0.647 0.702 0.951 U
0.338 0.804 0.553 U
0.353 0.298 0.049 U
0.662 0.196 0.447 U
0.723 0.077 0.822 P
0.905 0.486 0.237 P
0.095 0.514 0.763 P
0.277 0.923 0.178 P
```

- Polymorph energy (0 for the lowest one): 46 meV per atom
- Formation energy without anion corrections: -2.715 eV/atom
- Uncorrected energy: -8.64 eV/atom
- Total magnetic moment: 0.147 μB/atom
- Density: 5.39 g/cm3
- Crystal system: triclinic